[1]
# RbIrF2 PBE relaxed
# * D(E_F): 14.02 states/eV/cell
# * raw formation energy: -0.317 eV per atom
# * distance to the lowest polymorph of the same formula: 801 meV/atom
# * crystal system: cubic
data_RbIrF2
_cell_length_a 6.489
_cell_length_b 6.489
_cell_length_c 6.489
_cell_angle_alpha 90.00
_cell_angle_beta 90.00
_cell_angle_gamma 90.00
_space_group_name_H-M_alt 'F m -3 m'
_space_group_IT_number 225
_space_group_name_Hall '-F 4 2 3'
loop_
_atom_site_label
_atom_site_type_symbol
_atom_site_fract_x
_atom_site_fract_y
_atom_site_fract_z
Rb1 Rb 0.000 0.000 0.000
Ir1 Ir 0.000 0.000 0.500
F1 F 0.250 0.250 0.250

=====

[2]
# Rb2IrF7 PBE relaxed
# * raw formation energy: -2.044 eV per atom
# * distance to the lowest polymorph of the same formula: 0 meV/atom
# * crystal system: monoclinic
data_Rb2IrF7
_cell_length_a 14.533
_cell_length_b 6.410
_cell_length_c 10.434
_cell_angle_alpha 90.00
_cell_angle_beta 133.45
_cell_angle_gamma 90.00
_space_group_name_H-M_alt 'C 1 2/c 1'
_space_group_IT_number 15
loop_
_space_group_symop_operation_xyz
'x,y,z'
'-x,-y,-z'
'-x,y,-z+1/2'
'x,-y,z+1/2'
'x+1/2,y+1/2,z'
'-x+1/2,-y+1/2,-z'
'-x+1/2,y+1/2,-z+1/2'
'x+1/2,-y+1/2,z+1/2'
loop_
_atom_site_label
_atom_site_type_symbol
_atom_site_fract_x
_atom_site_fract_y
_atom_site_fract_z
Rb1 Rb 0.176 0.068 0.271
Ir1 Ir 0.000 0.458 0.750
F1 F 0.000 0.151 0.750
F2 F 0.069 0.291 0.402
F3 F 0.081 0.365 0.986
F4 F 0.169 0.457 0.825

=====

Q: Which formula does entry 2 have?
A: Rb2IrF7